Below is crystalline CoTcRuS2 at its relaxed geometry, with properties calculated at the GGA-PBE level.

Results
electronic total energy	-5.8582	eV per atom
formation energy (no corrections)	5.7	eV/f.u.
volume	92.5	Å³/f.u.
space group	P4/mmm, No. 123

Unit cell a=4.491 b=4.587 c=4.491 alpha=90.00 beta=90.00 gamma=90.00
Last column: magnetic moment on the atom in μB.
Element x y z (fractional)
Ru (0.500, 0.500, 0.500)  2.41
S (0.000, 0.000, 0.500)  0.07
S (0.500, 0.000, 0.000)  0.00
Co (0.000, 0.500, 0.000)  1.40
Tc (0.000, 0.000, 0.000)  -0.21